The following is a DFT calculation (GGA-PBE) of a geometry-optimized ThMgNiIr structure.

Lattice parameters (Å, degrees): 4.772 4.772 4.772 60.00 60.00 60.00
Element x y z (fractional)
Ni 0.250 0.250 0.250
Mg 0.000 0.000 0.000
Ir 0.750 0.750 0.750
Th 0.500 0.500 0.500

Output
DFT total energy = -6.369 eV per atom
Fermi-level density of states = 2.97 states/eV per cell
energy relative to the elements = -455 meV/atom
space group = No. 216
M_tot = 0.000 μB/atom